This record from Alexandria via LeMat-Bulk describes a relaxed structure of K2SiAg. The functional is PBE.

Properties
Its energy is -2.215 eV/atom. As for the uncorrected formation energy: 0.40 eV per atom. The total magnetization comes out at 0.00 μB per formula unit.

extended XYZ file:
```
4
Lattice="5.965 -0.112 0.000 -2.903 5.212 0.000 0.000 0.000 3.724" Properties=species:S:1:pos:R:3 pbc="T T T"
Ag -1.452 2.606 1.862
K 0.000 0.000 0.000
K 1.531 2.550 0.000
Si 2.983 -0.056 1.862
```